Record 1
NdSm2Al6, optimized geometry, DFT PBE-GGA; VASP energy = -4.557 eV/atom; distance to the lowest polymorph of the same formula = 0.000 eV per atom; Fermi-level density of states = 4.492 states/eV/f.u.
1.0
7.967 0.000 0.000
-3.983 6.899 0.000
0.000 0.000 3.659
Nd Sm Al
1 2 6
Direct
0.000 0.000 0.000
0.333 0.667 0.000
0.667 0.333 0.000
0.000 0.334 0.500
0.000 0.666 0.500
0.334 0.000 0.500
0.334 0.334 0.500
0.666 0.000 0.500
0.666 0.666 0.500

Record 2
NdSm2Al2, optimized geometry, DFT PBE-GGA; VASP energy = -4.618 eV/atom; distance to the lowest polymorph of the same formula = 0.000 eV per atom; Fermi-level density of states = 3.431 states/eV/f.u.
1.0
3.756 0.000 0.000
0.000 5.271 0.000
-1.884 0.000 13.717
Nd Sm Al
2 4 4
Direct
0.141 0.250 0.286
0.859 0.750 0.714
0.047 0.750 0.094
0.233 0.750 0.465
0.767 0.250 0.535
0.953 0.250 0.906
0.359 0.250 0.717
0.453 0.750 0.905
0.547 0.250 0.095
0.641 0.750 0.283

Record 3
NdSm12Al3, optimized geometry, DFT PBE-GGA; VASP energy = -4.651 eV/atom; Fermi-level density of states = 22.145 states/eV/f.u.
1.0
4.885 0.000 0.000
0.000 4.885 0.000
0.000 0.000 20.022
Nd Sm Al
1 12 3
Direct
0.000 0.000 0.000
0.000 0.500 0.137
0.000 0.500 0.379
0.000 0.500 0.621
0.000 0.500 0.863
0.500 0.000 0.137
0.500 0.000 0.379
0.500 0.000 0.621
0.500 0.000 0.863
0.500 0.500 0.000
0.500 0.500 0.259
0.500 0.500 0.500
0.500 0.500 0.741
0.000 0.000 0.259
0.000 0.000 0.500
0.000 0.000 0.741

Record 4
NdSmAl2, optimized geometry, DFT PBE-GGA; VASP energy = -4.606 eV/atom; Fermi-level density of states = 1.773 states/eV/f.u.
1.0
3.705 0.000 0.000
0.000 3.705 0.000
0.000 0.000 7.408
Nd Sm Al
1 1 2
Direct
0.000 0.000 0.000
0.000 0.000 0.500
0.500 0.500 0.255
0.500 0.500 0.745

Record 5
Nd12Sm3Al, optimized geometry, DFT PBE-GGA; VASP energy = -4.710 eV/atom; Fermi-level density of states = 22.845 states/eV/f.u.
1.0
5.088 0.000 0.000
0.000 5.088 0.000
0.000 0.000 20.719
Nd Sm Al
12 3 1
Direct
0.000 0.000 0.000
0.000 0.000 0.243
0.000 0.000 0.500
0.000 0.000 0.757
0.000 0.500 0.116
0.000 0.500 0.372
0.000 0.500 0.628
0.000 0.500 0.884
0.500 0.000 0.116
0.500 0.000 0.372
0.500 0.000 0.628
0.500 0.000 0.884
0.500 0.500 0.245
0.500 0.500 0.500
0.500 0.500 0.755
0.500 0.500 0.000

Record 6
NdSm5Al4, optimized geometry, DFT PBE-GGA; VASP energy = -4.619 eV/atom; Fermi-level density of states = 7.575 states/eV/f.u.
1.0
3.650 0.000 0.000
0.000 3.650 0.000
0.000 0.000 20.224
Nd Sm Al
1 5 4
Direct
0.000 0.000 0.000
0.500 0.500 0.131
0.500 0.500 0.315
0.500 0.500 0.500
0.500 0.500 0.685
0.500 0.500 0.869
0.000 0.000 0.222
0.000 0.000 0.408
0.000 0.000 0.592
0.000 0.000 0.778

Record 7
NdSm2Al2, optimized geometry, DFT PBE-GGA; VASP energy = -4.379 eV/atom; distance to the lowest polymorph of the same formula = 0.239 eV per atom; Fermi-level density of states = 5.261 states/eV/f.u.
1.0
3.228 -8.145 0.000
3.228 8.145 0.000
0.000 0.000 5.625
Nd Sm Al
2 4 4
Direct
0.000 0.000 0.000
0.000 0.000 0.500
0.200 0.800 0.750
0.417 0.583 0.250
0.583 0.417 0.750
0.800 0.200 0.250
0.149 0.414 0.750
0.414 0.149 0.250
0.586 0.851 0.750
0.851 0.586 0.250

Record 8
Nd2Sm2Al3, optimized geometry, DFT PBE-GGA; VASP energy = -4.577 eV/atom; Fermi-level density of states = 4.802 states/eV/f.u.
1.0
1.827 -14.561 0.000
1.827 14.561 0.000
0.000 0.000 3.629
Nd Sm Al
2 2 3
Direct
0.192 0.808 0.000
0.808 0.192 0.000
0.063 0.937 0.000
0.937 0.063 0.000
0.371 0.629 0.500
0.500 0.500 0.500
0.629 0.371 0.500

no.,formation enthalpy at 0 K (eV per atom)
1,-0.483
2,-0.280
3,-0.112
4,-0.363
5,-0.016
6,-0.286
7,-0.041
8,-0.262